# 1
Material: Y2Ho9Sc
Method: DFT, PBE
State: relaxed

Total moment: 0.00 μB per formula unit
N(E_F): 17.8 states/eV per cell
E_form: 0.032 eV/atom
Crystal system: tetragonal

```
data_Y2Ho9Sc
_chemical_formula_sum 'Y2 Ho9 Sc1'
_symmetry_space_group_name_H-M 'P 4/m m m'
_symmetry_Int_Tables_number 123
_symmetry_space_group_name_Hall '-P 4 2'
_cell_length_a 4.971
_cell_length_b 4.971
_cell_length_c 14.878
_cell_angle_alpha 90.00
_cell_angle_beta 90.00
_cell_angle_gamma 90.00
loop_
_atom_site_label
_atom_site_fract_x
_atom_site_fract_y
_atom_site_fract_z
Y1 0.000 0.000 0.169
Ho1 0.000 0.500 0.000
Ho2 0.000 0.500 0.338
Ho3 0.500 0.500 0.169
Ho4 0.500 0.500 0.500
Sc1 0.000 0.000 0.500
```

=====

# 2
Material: Zr2PdRh2
Method: DFT, PBE
State: relaxed

Total moment: 0.00 μB per formula unit
N(E_F): 8.8 states/eV per cell
E_form: -0.699 eV/atom
Crystal system: tetragonal
Excess energy over the best structure of this formula in the dataset: 0 meV/atom

```
data_Zr2PdRh2
_chemical_formula_sum 'Zr4 Pd2 Rh4'
_symmetry_space_group_name_H-M 'P 4/m b m'
_symmetry_Int_Tables_number 127
_symmetry_space_group_name_Hall '-P 4 2ab'
_cell_length_a 7.400
_cell_length_b 7.400
_cell_length_c 3.283
_cell_angle_alpha 90.00
_cell_angle_beta 90.00
_cell_angle_gamma 90.00
loop_
_atom_site_label
_atom_site_fract_x
_atom_site_fract_y
_atom_site_fract_z
Zr1 0.170 0.330 0.000
Pd1 0.000 0.000 0.500
Rh1 0.133 0.633 0.500
```

=====

Question: Which formula does entry 2 have?
Answer: Zr2PdRh2

=====

Question: Which formula does entry 2 have?
Answer: Zr2PdRh2

=====

Question: Look up the total moment of the first one.
Answer: 0.00 μB per formula unit